Entry 1:
The following is a DFT calculation (PBE-GGA) of SrSeBr after structural relaxation.

The space group is F-43m (No. 216) and the conventional cell measures 7.435, 7.435 and 7.435 Å, with angles of 90.00, 90.00 and 90.00 degrees. Symmetry generates all atoms from Sr at (0.000, 0.000, 0.000), Se at (0.250, 0.250, 0.250) and Br at (0.000, 0.000, 0.500).

***

Entry 2:
The following is a DFT calculation (PBE-GGA) of RbPmCdO3 after structural relaxation.

The space group is P2_1/m (No. 11) and the conventional cell measures 6.962, 3.715 and 9.655 Å, with angles of 90.00, 106.27 and 90.00 degrees. Symmetry generates all atoms from Rb at (0.137, 0.250, 0.184), Pm at (0.378, 0.250, 0.843), Cd at (0.187, 0.750, 0.546), O at (0.049, 0.250, 0.653), O at (0.313, 0.750, 0.985) and O at (0.456, 0.750, 0.714).

***

| no. | volume (Å³ per atom) | formation energy (no corrections) (kcal/mol of atoms) |
| --- | --- | --- |
| 1 | 34.24 | -24.121 |
| 2 | 19.98 | -46.331 |